An optimized crystal structure of HOsRuI2. Source: Alexandria, functional PBE.

Computed properties:
Electronic total energy: -19.09 eV for the cell shown
Spin magnetization: 3.49 μB/f.u.

Cell lengths 5.5267, 5.5267, 4.7588 Å; angles 90.00, 90.00, 90.00 degrees
Last column: nearest neighbours and their distance in Å.
Space group P4/mmm (No. 123)
Symmetry-distinct sites (fractional):
H1 0.0000 0.0000 0.0000  8 I 3.65, 4 Ru 3.91
Os1 0.5000 0.5000 0.5000  2 Ru 2.38
Ru1 0.5000 0.5000 0.0000  2 Os 2.38
I1 0.0000 0.5000 0.5000  2 Os 2.76